The following is a PBE calculation of an optimized crystal structure of GdTmNb2C4, from the Open Quantum Materials Database.

Cell: 3.5291 3.5291 9.9967 Å, 90.00 90.00 120.00°
Last column: nearest neighbours and their distance in Å.
Element x y z (fractional)
C 0.3333 0.6667 0.3424  1 C 1.72
C 0.6667 0.3333 0.8294  1 C 1.72
Nb 0.6667 0.3333 0.2542  6 C 2.20-2.22
Tm 0.0000 0.0000 0.5000  6 C 2.58
C 0.3333 0.6667 0.1706  1 C 1.72
Gd 0.0000 0.0000 0.0000  6 C 2.66
Nb 0.3333 0.6667 0.7458  6 C 2.20-2.22
C 0.6667 0.3333 0.6576  1 C 1.72

Summary:
Symmetry: No. 164
Spin magnetization, μB/f.u.: 0.0
Total DFT energy (no corrections), eV per atom: -8.633
ρ, Mg/m³: 8.625

The following is a PBE calculation of an optimized crystal structure of GdNbW2C3, from the Open Quantum Materials Database.

Cell: 5.9086 5.9086 5.5088 Å, 108.55 108.55 31.75°
Last column: nearest neighbours and their distance in Å.
Element x y z (fractional)
W 0.8509 0.8509 0.6675  4 C 2.09-2.15
Nb 0.3806 0.3806 0.1490  5 C 2.20-2.33
C 0.2537 0.2537 0.7477  3 W 2.09-2.17, 1 Nb 2.20
C 0.7590 0.7590 0.2570  3 W 2.13-2.15, 2 Nb 2.33
Gd 0.6051 0.6051 0.8190  5 C 2.46-2.52
W 0.1556 0.1556 0.3372  4 C 2.06-2.17
C 0.9951 0.9951 0.0227  2 W 2.06-2.10

Summary:
Symmetry: No. 8
Spin magnetization, μB/f.u.: 0.0
Total DFT energy (no corrections), eV per atom: -9.995
ρ, Mg/m³: 11.368

The following is a PBE calculation of an optimized crystal structure of NdGdSi2W2C, from the Open Quantum Materials Database.

Cell: 5.9086 5.9086 7.2478 Å, 123.23 123.23 38.65°
Last column: nearest neighbours and their distance in Å.
Element x y z (fractional)
Gd 0.4255 0.4255 0.7028  2 C 2.64
W 0.2067 0.2067 0.0804  1 C 2.03
Nd 0.5768 0.5768 0.3018  2 C 2.70
Si 0.8667 0.8667 0.3336  1 Si 2.52, 3 W 2.56-2.62
W 0.7925 0.7925 0.9182  1 C 2.03
C 0.9982 0.9982 0.9940  2 W 2.03
Si 0.1337 0.1337 0.6691  1 Si 2.52, 3 W 2.55-2.59

Summary:
Symmetry: No. 8
Spin magnetization, μB/f.u.: 0.0
Total DFT energy (no corrections), eV per atom: -8.425
ρ, Mg/m³: 9.517

The following is a PBE calculation of an optimized crystal structure of Nd2GdTa2C6, from the Open Quantum Materials Database.

Cell: 10.9935 10.9935 10.9935 Å, 158.71 158.71 30.29°
Last column: nearest neighbours and their distance in Å.
Element x y z (fractional)
C 0.3041 0.3041 0.0000  1 Ta 2.03
C 0.5768 0.0768 0.5000  2 Ta 2.09
Nd 0.8137 0.8137 0.0000  1 C 2.50
Ta 0.6001 0.6001 0.0000  5 C 2.03-2.09
C 0.6959 0.6959 0.0000  1 Ta 2.03
C 0.4232 0.9232 0.5000  2 Ta 2.09
C 0.9232 0.4232 0.5000  2 Ta 2.09
Nd 0.1863 0.1863 0.0000  1 C 2.50
C 0.0768 0.5768 0.5000  2 Ta 2.09
Gd 0.0000 0.0000 0.0000  8 C 2.60
Ta 0.3999 0.3999 0.0000  5 C 2.03-2.09

Summary:
Symmetry: No. 139
Spin magnetization, μB/f.u.: 0.0
Total DFT energy (no corrections), eV per atom: -8.345
ρ, Mg/m³: 8.345

The following is a PBE calculation of an optimized crystal structure of NdGdW2C3, from the Open Quantum Materials Database.

Cell: 6.2924 6.2924 5.8411 Å, 113.35 113.35 31.12°
Last column: nearest neighbours and their distance in Å.
Element x y z (fractional)
C 0.7469 0.7469 0.2706  3 W 2.10-2.17
C 0.2500 0.2500 0.7283  3 W 2.12-2.17
W 0.8422 0.8422 0.6760  4 C 2.05-2.17
Gd 0.6099 0.6099 0.8195  5 C 2.47-2.60
Nd 0.3931 0.3931 0.1893  5 C 2.53-2.66
C 0.0012 0.0012 0.9937  2 W 2.05-2.06
W 0.1567 0.1567 0.3226  4 C 2.06-2.17

Summary:
Symmetry: No. 8
Spin magnetization, μB/f.u.: 0.0
Total DFT energy (no corrections), eV per atom: -9.250
ρ, Mg/m³: 10.750

The following is a PBE calculation of an optimized crystal structure of Gd3NiC, from the Open Quantum Materials Database.

Cell: 4.8738 4.8738 4.8738 Å, 90.00 90.00 90.00°
Last column: nearest neighbours and their distance in Å.
Element x y z (fractional)
Gd 0.5000 0.0000 0.0000  2 C 2.44
Gd 0.0000 0.5000 0.0000  2 C 2.44
Ni 0.5000 0.5000 0.5000  12 Gd 3.45
C 0.0000 0.0000 0.0000  6 Gd 2.44
Gd 0.0000 0.0000 0.5000  2 C 2.44

Summary:
Symmetry: No. 221
Spin magnetization, μB/f.u.: 0.0
Total DFT energy (no corrections), eV per atom: -5.741
ρ, Mg/m³: 7.781

- Look up the ρ of the second one.
  11.368 Mg/m³

- The lowest ρ belongs to which entry?
  Gd3NiC

- Among the records above, which one has the highest ρ?
  GdNbW2C3

- Which formula does entry 5 have?
  NdGdW2C3